[1]
Entry from the Alexandria database: a relaxed structure of MgHPd2 (PBE).

Spin magnetization ... 0.00 μB/f.u.
Calculated density ... 6.692 Mg/m³
Relative energy among the computed polymorphs ... 572 meV per atom

a b c (Å): 4.3623 4.3623 3.5858
angles (deg): 90.00 90.00 120.00
Space group P6/mmm (No. 191)
Unique sites:
Mg 0.0000 0.0000 0.0000
H 0.0000 0.0000 0.5000
Pd 0.3333 0.6667 0.5000



[2]
Entry from the Alexandria database: a relaxed structure of MgCr4 (PBE).

Spin magnetization ... 0.80 μB/f.u.
Formation energy ... 0.5973 eV per atom
Calculated density ... 5.266 Mg/m³
Relative energy among the computed polymorphs ... 160 meV per atom

a b c (Å): 3.830 3.830 9.987
angles (deg): 90.00 90.00 90.00
Space group I4/mmm (No. 139)
Unique sites:
Mg 0.000 0.000 0.000
Cr 0.000 0.000 0.379
Cr 0.000 0.500 0.250



Which of these has the highest relative energy among the computed polymorphs?
MgHPd2